No. 1
Below is crystalline Y2HfPbO at its relaxed geometry, with properties calculated at the GGA-PBE level.

Cell lengths 5.0169, 5.0169, 4.2708 Å; angles 90.00, 90.00, 90.00 degrees
With the nearest neighbours (Å) after each atom.
Fractional coordinates of all 5 atoms:
Y (0.0000, 0.5000, 0.0000)  2 O 2.51
Y (0.5000, 0.0000, 0.0000)  2 O 2.51
Hf (0.0000, 0.0000, 0.5000)  2 O 2.14
Pb (0.5000, 0.5000, 0.5000)  8 Y 3.29, 4 Hf 3.55
O (0.0000, 0.0000, 0.0000)  2 Hf 2.14

Calculated values
ΔE_f (raw) (meV per atom): -1183
Density of states at the Fermi level (states/eV per atom): 0.81
Space group: P4/mmm (123)

---

No. 2
Below is crystalline ZnInW3 at its relaxed geometry, with properties calculated at the GGA-PBE level.

Cell lengths 4.8756, 4.8756, 4.8756 Å; angles 90.00, 90.00, 90.00 degrees
With the nearest neighbours (Å) after each atom.
Fractional coordinates of all 5 atoms:
Zn (0.0000, 0.0000, 0.0000)  12 W 3.45
In (0.5000, 0.5000, 0.5000)  6 W 2.44
W (0.0000, 0.5000, 0.5000)  2 In 2.44
W (0.5000, 0.0000, 0.5000)  2 In 2.44
W (0.5000, 0.5000, 0.0000)  2 In 2.44

Calculated values
Energy of formation (eV/atom): 2.96
ΔE to the lowest computed polymorph (meV/atom): 1125
Density of states at the Fermi level (states/eV per atom): 1.37
Space group: Pm-3m (221)

---

No. 3
Below is crystalline RbNaPu2Se4 at its relaxed geometry, with properties calculated at the GGA-PBE level.

Cell lengths 7.4198, 7.4198, 15.3344 Å; angles 90.00, 90.00, 145.73 degrees
With the nearest neighbours (Å) after each atom.
Fractional coordinates of all 16 atoms:
Rb (0.1123, 0.8877, 0.7500)  6 Se 3.33-3.67
Rb (0.8877, 0.1123, 0.2500)  6 Se 3.33-3.67
Na (0.1719, 0.8281, 0.2500)  4 Se 2.66-2.68
Na (0.8281, 0.1719, 0.7500)  4 Se 2.66-2.68
Pu (0.3698, 0.6302, 0.5614)  6 Se 2.86-3.03
Pu (0.3698, 0.6302, 0.9386)  6 Se 2.86-3.03
Pu (0.6302, 0.3698, 0.0614)  6 Se 2.86-3.03
Pu (0.6302, 0.3698, 0.4386)  6 Se 2.86-3.03
Se (0.0000, 0.0000, 0.0000)  4 Pu 3.01
Se (0.0000, 0.0000, 0.5000)  4 Pu 3.01
Se (0.2625, 0.7375, 0.0963)  1 Na 2.68, 3 Pu 2.86-2.93
Se (0.2625, 0.7375, 0.4037)  1 Na 2.68, 3 Pu 2.86-2.93
Se (0.4348, 0.5652, 0.7500)  2 Na 2.66
Se (0.5652, 0.4348, 0.2500)  2 Na 2.66
Se (0.7375, 0.2625, 0.5963)  1 Na 2.68, 3 Pu 2.86-2.93
Se (0.7375, 0.2625, 0.9037)  1 Na 2.68, 3 Pu 2.86-2.93

Calculated values
ΔE_f (raw) (meV per atom): -1315
Density of states at the Fermi level (states/eV per atom): 2.96
Space group: Cmcm (63)

---

No. 4
Below is crystalline Cs2RbCuCl6 at its relaxed geometry, with properties calculated at the GGA-PBE level.

Cell lengths 7.7683, 7.7683, 7.7683 Å; angles 60.00, 60.00, 60.00 degrees
With the nearest neighbours (Å) after each atom.
Fractional coordinates of all 10 atoms:
Cs (0.2500, 0.2500, 0.2500)  12 Cl 3.90
Cs (0.7500, 0.7500, 0.7500)  12 Cl 3.90
Rb (0.0000, 0.0000, 0.0000)  6 Cl 3.12
Cu (0.5000, 0.5000, 0.5000)  6 Cl 2.37
Cl (0.2838, 0.2838, 0.7162)  1 Cu 2.37
Cl (0.2838, 0.7162, 0.2838)  1 Cu 2.37
Cl (0.2838, 0.7162, 0.7162)  1 Cu 2.37
Cl (0.7162, 0.2838, 0.2838)  1 Cu 2.37
Cl (0.7162, 0.2838, 0.7162)  1 Cu 2.37
Cl (0.7162, 0.7162, 0.2838)  1 Cu 2.37

Calculated values
ΔE_f (raw) (meV per atom): -1306
Density of states at the Fermi level (states/eV per atom): 0.00
Space group: Fm-3m (225)

---

- Among the records above, which one has the highest density of states at the Fermi level?
  RbNaPu2Se4